A plane-wave DFT calculation with PBE was carried out for a relaxed SmTh2PaSb5 crystal.

a b c (Å): 5.3887 5.3887 11.6157
angles (deg): 90.00 90.00 90.00
With the nearest neighbours (Å) after each atom.
Space group P4/mmm (No. 123)
Asymmetric unit:
Sm: 0.0000 0.0000 0.0000 (multiplicity 1)  6 Sb 2.69-2.95
Th: 0.5000 0.5000 0.1688 (multiplicity 2)  4 Sb 3.33
Pa: 0.0000 0.0000 0.5000 (multiplicity 1)  2 Sb 2.86
Sb: 0.0000 0.0000 0.2541 (multiplicity 2)  1 Pa 2.86, 1 Sm 2.95
Sb: 0.0000 0.5000 0.0000 (multiplicity 2)  2 Sm 2.69
Sb: 0.5000 0.5000 0.5000 (multiplicity 1)  4 Pa 3.81, 2 Th 3.85

Total magnetization (μB per cell): 1.09
Energy relative to the elements, uncorrected (meV per atom): 65
Crystal system: tetragonal
Raw total energy (eV per atom): -5.454

***

A plane-wave DFT calculation with PBE was carried out for a relaxed Sm2ThPaSb4 crystal.

a b c (Å): 7.7160 4.4514 7.7177
angles (deg): 90.00 109.43 90.00
With the nearest neighbours (Å) after each atom.
Space group P2/m (No. 10)
Asymmetric unit:
Sm: 0.0000 0.0000 0.0000 (multiplicity 1)  6 Sb 3.13-3.14
Sm: 0.0000 0.5000 0.5000 (multiplicity 1)  6 Sb 3.18
Th: 0.5000 0.0000 0.5000 (multiplicity 1)  6 Sb 3.16-3.17
Pa: 0.5000 0.5000 0.0000 (multiplicity 1)  6 Sb 3.12
Sb: 0.2503 0.5000 0.2450 (multiplicity 2)  1 Pa 3.12, 3 Sm 3.14-3.18, 2 Th 3.16
Sb: 0.2529 0.0000 0.7556 (multiplicity 2)  2 Pa 3.12, 3 Sm 3.13-3.18, 1 Th 3.17

Total magnetization (μB per cell): 0.90
Energy relative to the elements, uncorrected (meV per atom): -923
Crystal system: monoclinic
Raw total energy (eV per atom): -6.278

***

A plane-wave DFT calculation with PBE was carried out for a relaxed SmTm2PaSb4 crystal.

a b c (Å): 7.5585 4.3756 7.5959
angles (deg): 90.00 109.37 90.00
With the nearest neighbours (Å) after each atom.
Space group P2/m (No. 10)
Asymmetric unit:
Sm: 0.0000 0.0000 0.0000 (multiplicity 1)  6 Sb 3.13
Tm: 0.5000 0.0000 0.5000 (multiplicity 1)  6 Sb 3.05-3.06
Tm: 0.5000 0.5000 0.0000 (multiplicity 1)  6 Sb 3.08-3.09
Pa: 0.0000 0.5000 0.5000 (multiplicity 1)  6 Sb 3.10-3.11
Sb: 0.2559 0.0000 0.7496 (multiplicity 2)  3 Tm 3.05-3.08, 2 Pa 3.11, 1 Sm 3.13
Sb: 0.2566 0.5000 0.2559 (multiplicity 2)  3 Tm 3.06-3.09, 1 Pa 3.10, 2 Sm 3.13

Total magnetization (μB per cell): 0.91
Energy relative to the elements, uncorrected (meV per atom): -933
Crystal system: monoclinic
Raw total energy (eV per atom): -5.889

***

A plane-wave DFT calculation with PBE was carried out for a relaxed SmTmPa2Sb4 crystal.

a b c (Å): 7.5786 4.3773 7.6380
angles (deg): 90.00 109.34 90.00
With the nearest neighbours (Å) after each atom.
Space group P2/m (No. 10)
Asymmetric unit:
Sm: 0.0000 0.0000 0.0000 (multiplicity 1)  6 Sb 3.12
Tm: 0.5000 0.5000 0.0000 (multiplicity 1)  6 Sb 3.08
Pa: 0.0000 0.5000 0.5000 (multiplicity 1)  6 Sb 3.12
Pa: 0.5000 0.0000 0.5000 (multiplicity 1)  6 Sb 3.09
Sb: 0.2549 0.0000 0.7520 (multiplicity 2)  2 Tm 3.08, 3 Pa 3.09-3.12, 1 Sm 3.12
Sb: 0.2546 0.5000 0.2512 (multiplicity 2)  1 Tm 3.08, 3 Pa 3.09-3.12, 2 Sm 3.12

Total magnetization (μB per cell): 1.98
Energy relative to the elements, uncorrected (meV per atom): -761
Crystal system: monoclinic
Raw total energy (eV per atom): -6.345

***

A plane-wave DFT calculation with PBE was carried out for a relaxed Pa2SnSb3 crystal.

a b c (Å): 4.3238 4.3238 8.7537
angles (deg): 90.00 90.00 90.00
With the nearest neighbours (Å) after each atom.
Space group P-4m2 (No. 115)
Asymmetric unit:
Pa: 0.0000 0.5000 0.2182 (multiplicity 2)  7 Sb 3.13-3.28, 2 Sn 3.28
Sn: 0.0000 0.0000 0.5000 (multiplicity 1)  4 Sb 3.06, 4 Pa 3.28
Sb: 0.0000 0.5000 0.8573 (multiplicity 2)  5 Pa 3.13-3.16
Sb: 0.5000 0.5000 0.5000 (multiplicity 1)  4 Sn 3.06, 4 Pa 3.28

Total magnetization (μB per cell): 0.00
Energy relative to the elements, uncorrected (meV per atom): -497
Crystal system: tetragonal
Raw total energy (eV per atom): -6.391

***

A plane-wave DFT calculation with PBE was carried out for a relaxed PaSn2Sb crystal.

a b c (Å): 3.2315 3.2315 36.7586
angles (deg): 90.00 90.00 120.00
With the nearest neighbours (Å) after each atom.
Space group R-3m (No. 166, hexagonal axes)
Asymmetric unit:
Pa: 0.0000 0.0000 0.0000 (multiplicity 3)  2 Sn 3.23, 6 Pa 3.23
Sn: 0.0000 0.0000 0.0878 (multiplicity 6)  1 Pa 3.23, 6 Sn 3.23, 3 Sb 3.45
Sb: 0.0000 0.0000 0.5000 (multiplicity 3)  6 Sb 3.23, 6 Sn 3.45

Total magnetization (μB per cell): 1.20
Energy relative to the elements, uncorrected (meV per atom): 341
Crystal system: trigonal
Energy above the lowest structure with this stoichiometry (eV per formula unit): 2.67
Raw total energy (eV per atom): -5.065